AcPrCl | GGA-PBE | optimized geometry

Results
formation energy from raw total energies	-739	meV per atom

a = 3.725 Å, b = 3.725 Å, c = 7.644 Å
α = 104.10°, β = 104.10°, γ = 90.00°
Positions (direct):
Pr 0.685 0.685 0.371
Cl 0.326 0.326 0.651
Ac 0.989 0.989 0.978

=====

AcPrCl | GGA-PBE | optimized geometry

Results
formation energy from raw total energies	-641	meV per atom

a = 7.697 Å, b = 7.697 Å, c = 5.705 Å
α = 113.13°, β = 113.13°, γ = 114.64°
Positions (direct):
Ac 0.273 0.727 0.000
Pr 0.790 0.790 0.000
Ac 0.727 0.273 0.000
Cl 0.711 0.711 0.422
Pr 0.210 0.210 0.000
Cl 0.289 0.289 0.578

=====

AcPr2Cl8 | GGA-PBE | optimized geometry

Results
formation energy from raw total energies	-2159	meV per atom

a = 5.426 Å, b = 7.692 Å, c = 7.692 Å
α = 111.39°, β = 99.20°, γ = 99.20°
Last column: magnetic moment on the atom in μB.
Positions (direct):
Pr 0.000 0.319 0.681  0.24
Cl 0.500 0.235 0.765  0.00
Cl 0.500 0.765 0.235  0.00
Cl 0.075 0.317 0.063  0.00
Cl 0.673 0.363 0.363  0.00
Cl 0.925 0.937 0.683  0.00
Cl 0.327 0.637 0.637  0.00
Cl 0.075 0.063 0.317  0.00
Ac 0.500 0.000 0.000  0.05
Pr 0.000 0.681 0.319  0.24
Cl 0.925 0.683 0.937  0.00

=====

For the records above, the corresponding size of the total moment values read 0.00, 0.00, 1.03 μB/cell.